[1]
Here is BeAs2PbBr after structural relaxation from Alexandria via LeMat-Bulk. Energies are from GGA-PBEsol.

abc: 4.4650 4.4650 5.4135
angles: 90.00 90.00 90.00
With the nearest neighbours (Å) after each atom.
Sites, in units of the cell vectors:
Pb 0.5000 0.5000 0.5000  4 Br 3.16, 8 As 3.51
Be 0.0000 0.0000 0.0000  4 As 2.23
As 0.0000 0.5000 0.0000  2 Be 2.23
As 0.5000 0.0000 0.0000  2 Be 2.23
Br 0.0000 0.0000 0.5000  2 Be 2.71

Properties
The calculation puts the formation energy from raw total energies at 180 meV per atom.



[2]
Here is Li3Tc after structural relaxation from Alexandria via LeMat-Bulk. Energies are from GGA-PBEsol.

abc: 4.4062 4.9658 5.1652
angles: 90.00 90.00 90.00
With the nearest neighbours (Å) after each atom.
Sites, in units of the cell vectors:
Li 0.5000 0.6532 0.0000  4 Tc 2.55-2.59, 8 Li 2.75-2.83
Li 0.0000 0.3468 0.5000  4 Tc 2.55-2.59, 8 Li 2.75-2.83
Li 0.0000 0.8554 0.7456  8 Li 2.54-2.83, 3 Tc 2.64-2.83
Li 0.0000 0.8554 0.2544  8 Li 2.54-2.83, 3 Tc 2.64-2.83
Li 0.5000 0.1446 0.2456  8 Li 2.54-2.83, 3 Tc 2.64-2.83
Li 0.5000 0.1446 0.7544  8 Li 2.54-2.83, 3 Tc 2.64-2.83
Tc 0.0000 0.3945 0.0000  10 Li 2.55-2.83
Tc 0.5000 0.6055 0.5000  10 Li 2.55-2.83

Properties
The formation energy comes out at 722 meV/atom. For the energy above the most stable polymorph in this dataset, the calculation gives 1.575 eV per formula unit.



[3]
Here is Li2AgIr after structural relaxation from Alexandria via LeMat-Bulk. Energies are from GGA-PBEsol.

abc: 2.6483 4.4885 5.2943
angles: 115.08 104.48 90.00
With the nearest neighbours (Å) after each atom.
Sites, in units of the cell vectors:
Ag 0.4924 0.4924 0.9848  6 Li 2.60-2.61, 2 Ag 2.65, 2 Ir 2.77
Ir 0.2561 0.7561 0.5122  6 Li 2.61-2.62, 2 Ir 2.65, 2 Ag 2.77
Li 0.0017 0.0017 0.0033  4 Ag 2.61, 2 Ir 2.62, 4 Li 2.64-2.65
Li 0.7498 0.2498 0.4997  2 Ag 2.60, 4 Ir 2.61, 4 Li 2.64-2.65

Properties
The formation energy comes out at 39 meV/atom.



[4]
Here is BaHgSeBr2 after structural relaxation from Alexandria via LeMat-Bulk. Energies are from GGA-PBEsol.

abc: 5.3063 5.4646 5.4646
angles: 90.00 90.00 90.00
With the nearest neighbours (Å) after each atom.
Sites, in units of the cell vectors:
Se 0.5000 0.0000 0.0000  2 Hg 2.65
Hg 0.0000 0.0000 0.0000  2 Se 2.65, 4 Br 2.73
Br 0.0000 0.0000 0.5000  2 Hg 2.73
Br 0.0000 0.5000 0.0000  2 Hg 2.73
Ba 0.5000 0.5000 0.5000  8 Br 3.81, 4 Se 3.86

Properties
The calculation puts the formation energy from raw total energies at -1006 meV per atom.



[5]
Here is ZrCrTc2 after structural relaxation from Alexandria via LeMat-Bulk. Energies are from GGA-PBEsol.

abc: 3.1065 4.3672 4.3672
angles: 90.00 90.00 90.00
With the nearest neighbours (Å) after each atom.
Sites, in units of the cell vectors:
Cr 0.5000 0.0000 0.0000  8 Tc 2.68
Tc 0.0000 0.0000 0.5000  4 Zr 2.68, 4 Cr 2.68
Tc 0.0000 0.5000 0.0000  4 Zr 2.68, 4 Cr 2.68
Zr 0.5000 0.5000 0.5000  8 Tc 2.68

Properties
The formation energy comes out at -18 meV/atom.



[6]
Here is AlIBr2F after structural relaxation from Alexandria via LeMat-Bulk. Energies are from GGA-PBEsol.

abc: 3.5236 5.8543 5.8543
angles: 90.00 90.00 90.00
With the nearest neighbours (Å) after each atom.
Sites, in units of the cell vectors:
I 0.5000 0.5000 0.5000  8 Br 3.42, 2 I 3.52
Al 0.5000 0.0000 0.0000  2 F 1.76
Br 0.0000 0.0000 0.5000  2 F 2.93
Br 0.0000 0.5000 0.0000  2 F 2.93
F 0.0000 0.0000 0.0000  2 Al 1.76

Properties
The calculation puts the formation energy from raw total energies at -458 meV per atom.